Ti4Be2Ga5: optimized geometry, PBE.

Structure (CIF):
```
data_Ti4Be2Ga5
_chemical_formula_sum 'Ti4 Be2 Ga5'
_cell_length_a 6.566
_cell_length_b 2.932
_cell_length_c 8.391
_cell_angle_alpha 90.00
_cell_angle_beta 94.64
_cell_angle_gamma 90.00
_space_group_name_H-M_alt 'P 1 2/m 1'
_space_group_IT_number 10
loop_
_space_group_symop_operation_xyz
'x,y,z'
'-x,-y,-z'
'-x,y,-z'
'x,-y,z'
loop_
_atom_site_label
_atom_site_type_symbol
_atom_site_fract_x
_atom_site_fract_y
_atom_site_fract_z
Ti1 Ti 0.168 0.000 0.372
Ti2 Ti 0.249 0.000 0.943
Be1 Be 0.063 0.500 0.126
Ga1 Ga 0.178 0.500 0.665
Ga2 Ga 0.433 0.500 0.188
Ga3 Ga 0.500 0.500 0.500
```

Computed properties:
Magnetic moment (μB/atom): 0.0000
N(E_F) (states/eV/f.u.): 5.719
Energy of formation (meV/atom): -376.3
Final energy (eV per atom): -5.301